Record 1
{"formula": "HfFe4Mo", "functional": "PBE", "state": "optimized geometry", "ef_ev_per_fu": -0.672, "dos_at_fermi_per_ev_cell": 9.58, "volume_a3_per_cell": 79.74, "lattice": [[4.831, 0.000, 0.000], [2.416, 4.184, 0.000], [2.416, 1.395, 3.945]], "species": ["Fe", "Fe", "Fe", "Fe", "Hf", "Mo"], "frac_coords": [[0.625, 0.126, 0.625], [0.625, 0.625, 0.126], [0.126, 0.625, 0.625], [0.625, 0.625, 0.625], [0.000, 0.000, 0.000], [0.250, 0.250, 0.250]]}



Record 2
{"formula": "LiZnCdSn", "functional": "PBE", "state": "optimized geometry", "ef_ev_per_fu": -0.499, "dos_at_fermi_per_ev_cell": 1.49, "volume_a3_per_cell": 79.41, "lattice": [[-0.638, -1.364, -3.827], [0.616, -4.125, 1.367], [-4.302, -0.362, 0.847]], "species": ["Sn", "Cd", "Li", "Zn"], "frac_coords": [[0.000, 0.500, 0.500], [0.000, 0.000, 0.000], [0.500, 0.000, 0.500], [0.500, 0.500, 0.000]]}



> What is the formula in the first record?

HfFe4Mo